First-principles (PBE) data for a geometry-optimized LiGa7Co2 structure, as listed in the Alexandria database.

Properties
The formation energy is -0.113 eV/atom. Its raw total energy is -38.44 eV per cell. The space-group type is Cmmm, No. 65. Its density of states at the Fermi level is 6.11 states/eV/f.u.

Cell: 6.603 6.603 4.506 Å, 90.00 90.00 103.19°
Positions (direct):
Li 0.000 0.000 0.000
Ga 0.088 0.339 0.500
Ga 0.283 0.717 0.000
Ga 0.339 0.088 0.500
Ga 0.500 0.500 0.500
Ga 0.661 0.912 0.500
Ga 0.717 0.283 0.000
Ga 0.912 0.661 0.500
Co 0.277 0.723 0.500
Co 0.723 0.277 0.500